Below is MgSnNF2 after structural relaxation, with properties calculated at the PBEsol level.

Values from the calculation:
* total moment: 0.000 μB per atom
* total DFT energy (no corrections): -5.20 eV per atom
* ρ: 5.17 g cm⁻³
* formation energy (no corrections): -739 kJ/mol of formula units
* volume: 12.536 A^3/atom

a b c (Å): 3.668 3.668 4.658
angles (deg): 90.00 90.00 90.00
Element x y z (fractional)
Mg (0.000, 0.000, 0.000)
Sn (0.500, 0.500, 0.500)
N (0.000, 0.000, 0.500)
F (0.000, 0.500, 0.000)
F (0.500, 0.000, 0.000)